(1)
LiMgTeI | PBE | relaxed

Summary:
**Space group**: Cm
**Total energy**: -12.25 eV for the cell shown
**Volume**: 34.2 Å³ per atom

POSCAR file:
```
LiMgTeI
1.0
4.592 -0.001 -0.013
-2.292 3.979 0.013
-2.283 -1.333 7.498
Te Li I Mg
1 1 1 1
Direct
0.457 0.114 0.571
0.215 0.989 0.204
0.459 0.612 0.070
0.199 0.485 0.684
```

(2)
TlAgSn2 | PBE | relaxed

Summary:
**Energy relative to the lowest polymorph listed for this composition**: 0.0749 eV/atom
**ΔE_f**: 0.102 eV per atom
**Space group**: P6_3/mmc
**Volume**: 26.6 Å³ per atom

POSCAR file:
```
TlAgSn2
1.0
3.249 0.000 0.000
-1.624 2.814 0.000
0.000 0.000 23.240
Sn Tl Ag
4 2 2
Direct
0.667 0.333 0.604
0.667 0.333 0.896
0.333 0.667 0.104
0.333 0.667 0.396
0.667 0.333 0.750
0.333 0.667 0.250
0.000 0.000 0.000
0.000 0.000 0.500
```

(3)
Ni2Mo2Ru | PBE | relaxed

Summary:
**Energy relative to the lowest polymorph listed for this composition**: 0.0679 eV/atom
**ΔE_f**: 0.113 eV per atom
**Space group**: P4/mbm
**Volume**: 13.6 Å³ per atom

POSCAR file:
```
Ni2Mo2Ru
1.0
-4.941 -3.723 2.227
3.240 -0.922 5.647
-1.377 2.550 1.206
Ni Mo Ru
4 4 2
Direct
0.373 0.873 0.000
0.627 0.127 0.000
0.873 0.627 0.000
0.127 0.373 0.000
0.325 0.175 0.500
0.825 0.325 0.500
0.175 0.675 0.500
0.675 0.825 0.500
0.000 0.000 0.000
0.500 0.500 0.000
```

(4)
LaTm4Tl7 | PBE | relaxed

Summary:
**ΔE_f**: -0.081 eV per atom
**Space group**: C2/m
**Volume**: 30.4 Å³ per atom

POSCAR file:
```
LaTm4Tl7
1.0
-1.242 5.526 -1.263
-9.274 1.633 2.935
1.459 4.615 5.422
Tl La Tm
7 1 4
Direct
0.500 0.000 0.000
0.214 0.106 0.465
0.923 0.335 0.820
0.786 0.894 0.535
0.637 0.450 0.275
0.363 0.550 0.725
0.077 0.665 0.180
0.000 0.000 0.000
0.416 0.782 0.387
0.719 0.672 0.891
0.584 0.218 0.613
0.281 0.328 0.109
```

(5)
La6TbPr3 | PBE | relaxed

Summary:
**Energy relative to the lowest polymorph listed for this composition**: 0.0000 eV/atom
**ΔE_f**: 0.109 eV per atom
**Space group**: Cmc2_1
**Volume**: 36.2 Å³ per atom

POSCAR file:
```
La6TbPr3
1.0
6.658 0.000 0.000
0.000 11.147 -1.830
0.000 -4.271 10.457
La Pr Tb
12 6 2
Direct
0.160 0.719 0.281
0.872 0.484 0.070
0.057 0.714 0.634
0.372 0.516 0.930
0.057 0.366 0.286
0.557 0.286 0.366
0.853 0.031 0.969
0.557 0.634 0.714
0.660 0.281 0.719
0.872 0.930 0.516
0.353 0.969 0.031
0.372 0.070 0.484
0.964 0.058 0.295
0.964 0.705 0.942
0.580 0.616 0.384
0.464 0.942 0.705
0.080 0.384 0.616
0.464 0.295 0.058
0.106 0.187 0.813
0.606 0.813 0.187
```

(6)
HgB2SbO | PBE | relaxed

Summary:
**Space group**: P4/mmm
**Total energy**: -15.50 eV for the cell shown
**Volume**: 16.6 Å³ per atom

POSCAR file:
```
HgB2SbO
1.0
3.968 0.000 0.000
0.000 5.272 0.000
0.000 0.000 3.968
O Sb B Hg
1 1 2 1
Direct
0.000 0.000 0.000
0.500 0.500 0.500
0.500 0.000 0.000
0.000 0.000 0.500
0.000 0.500 0.000
```

(7)
ZrTi3Ga2 | PBE | relaxed

Summary:
**ΔE_f**: -0.301 eV per atom
**Space group**: C2/m
**Volume**: 17.8 Å³ per atom

POSCAR file:
```
ZrTi3Ga2
1.0
-2.476 -2.392 -1.910
6.642 0.816 -5.574
0.313 -4.904 5.735
Ti Ga Zr
6 4 2
Direct
0.304 0.607 0.495
0.066 0.131 0.442
0.696 0.393 0.505
0.619 0.237 0.747
0.934 0.869 0.558
0.381 0.763 0.253
0.478 0.956 0.817
0.760 0.519 0.196
0.240 0.481 0.804
0.522 0.044 0.183
0.117 0.235 0.066
0.883 0.765 0.934
```

(8)
Th3IrSeS | PBE | relaxed

Summary:
**Space group**: P2_1/m
**Total energy**: -94.88 eV for the cell shown
**Volume**: 25.8 Å³ per atom

POSCAR file:
```
Th3IrSeS
1.0
-1.756 3.590 -0.550
-8.261 -4.634 -3.880
-2.822 -0.316 6.952
Th Ir Se S
6 2 2 2
Direct
0.250 0.848 0.411
0.250 0.487 0.780
0.750 0.152 0.589
0.750 0.513 0.220
0.250 0.167 0.071
0.750 0.833 0.929
0.250 0.676 0.086
0.750 0.324 0.914
0.750 0.668 0.582
0.250 0.332 0.418
0.750 0.008 0.246
0.250 0.992 0.754
```

(9)
Y2PuRu2 | PBE | relaxed

Summary:
**Energy relative to the lowest polymorph listed for this composition**: 0.0000 eV/atom
**ΔE_f**: -0.366 eV per atom
**Space group**: C2/c
**Volume**: 22.5 Å³ per atom

POSCAR file:
```
Y2PuRu2
1.0
-3.043 -1.383 4.758
-5.305 -2.321 -0.531
1.785 -7.589 0.582
Y Pu Ru
4 2 4
Direct
0.523 0.781 0.850
0.781 0.523 0.350
0.219 0.477 0.650
0.477 0.219 0.150
0.873 0.127 0.750
0.127 0.873 0.250
0.007 0.729 0.009
0.271 0.993 0.491
0.993 0.271 0.991
0.729 0.007 0.509
```

(10)
BaAcGa2O6 | PBE | relaxed

Summary:
**Space group**: C2/c
**Total energy**: -128.86 eV for the cell shown
**Volume**: 17.4 Å³ per atom

POSCAR file:
```
BaAcGa2O6
1.0
-2.216 1.682 -7.132
2.790 -6.614 -2.658
-5.307 -1.993 2.243
Ga Ba O Ac
4 2 12 2
Direct
0.132 0.297 0.274
0.868 0.703 0.726
0.703 0.868 0.226
0.297 0.132 0.774
0.836 0.164 0.750
0.164 0.836 0.250
0.525 0.699 0.147
0.905 0.368 0.170
0.632 0.095 0.330
0.873 0.821 0.477
0.475 0.301 0.853
0.301 0.475 0.353
0.368 0.905 0.670
0.127 0.179 0.523
0.095 0.632 0.830
0.699 0.525 0.647
0.179 0.127 0.023
0.821 0.873 0.977
0.392 0.608 0.750
0.608 0.392 0.250
```

(11)
AcHoCuPt | PBE | relaxed

Summary:
**ΔE_f**: -0.599 eV per atom
**Space group**: F-43m
**Volume**: 24.2 Å³ per atom

POSCAR file:
```
AcHoCuPt
1.0
5.154 0.000 0.000
2.577 4.463 0.000
2.577 1.488 4.208
Pt Cu Ac Ho
1 1 1 1
Direct
0.750 0.750 0.750
0.250 0.250 0.250
0.000 0.000 0.000
0.500 0.500 0.500
```

(12)
Li7Mg2Zn | PBE | relaxed

Summary:
**Energy relative to the lowest polymorph listed for this composition**: 0.1766 eV/atom
**ΔE_f**: 0.216 eV per atom
**Space group**: Fm-3m
**Volume**: 22.0 Å³ per atom

POSCAR file:
```
Li7Mg2Zn
1.0
6.779 0.000 0.000
3.389 5.870 0.000
3.389 1.957 5.535
Mg Li Zn
2 7 1
Direct
0.250 0.250 0.250
0.750 0.750 0.750
0.249 0.751 0.249
0.751 0.249 0.249
0.751 0.249 0.751
0.249 0.249 0.751
0.249 0.751 0.751
0.500 0.500 0.500
0.751 0.751 0.249
0.000 0.000 0.000
```

(13)
Tb4Ir2Pd | PBE | relaxed

Summary:
**Energy relative to the lowest polymorph listed for this composition**: 0.0000 eV/atom
**ΔE_f**: -0.819 eV per atom
**Space group**: R-3m
**Volume**: 23.3 Å³ per atom

POSCAR file:
```
Tb4Ir2Pd
1.0
-3.000 0.702 3.773
-4.627 -1.499 -0.256
-0.426 -7.311 4.166
Tb Pd Ir
4 1 2
Direct
0.873 0.873 0.380
0.377 0.377 0.868
0.623 0.623 0.132
0.127 0.127 0.620
0.000 0.000 0.000
0.250 0.250 0.250
0.750 0.750 0.750
```

(14)
LaNd2Tm3Se6 | PBE | relaxed

Summary:
**Space group**: C2/m
**Total energy**: -70.25 eV for the cell shown
**Volume**: 25.1 Å³ per atom

POSCAR file:
```
LaNd2Tm3Se6
1.0
4.060 0.000 0.000
0.000 8.449 0.110
-2.030 -2.635 8.733
Tm Se Nd La
3 6 2 1
Direct
0.500 0.500 0.000
0.167 0.834 0.333
0.833 0.166 0.667
0.338 0.404 0.676
0.672 0.073 0.345
0.662 0.596 0.324
0.996 0.265 0.992
0.328 0.927 0.655
0.004 0.735 0.008
0.832 0.664 0.664
0.168 0.336 0.336
0.500 0.000 0.000
```

(15)
VAg2SnP | PBE | relaxed

Summary:
**ΔE_f**: 1.277 eV per atom
**Space group**: P4/mmm
**Volume**: 25.5 Å³ per atom

POSCAR file:
```
VAg2SnP
1.0
-2.770 4.130 -0.054
-2.447 -1.696 -4.206
-3.389 -2.236 2.873
Ag P Sn V
2 1 1 1
Direct
0.000 0.000 0.500
0.500 0.000 0.000
0.500 0.500 0.500
0.000 0.500 0.000
0.000 0.000 0.000
```

(16)
BaNaO3 | PBE | relaxed

Summary:
**Space group**: Pm-3m
**Total energy**: -20.96 eV for the cell shown
**Volume**: 18.2 Å³ per atom

POSCAR file:
```
BaNaO3
1.0
-4.443 -0.204 0.697
0.719 -1.812 4.058
0.097 4.116 1.821
O Na Ba
3 1 1
Direct
0.000 0.500 0.000
0.500 0.000 0.000
0.000 0.000 0.500
0.500 0.500 0.500
0.000 0.000 0.000
```

(17)
Dy3Y4Sc | PBE | relaxed

Summary:
**Energy relative to the lowest polymorph listed for this composition**: 0.1461 eV/atom
**ΔE_f**: 0.160 eV per atom
**Space group**: C2/m
**Volume**: 31.9 Å³ per atom

POSCAR file:
```
Dy3Y4Sc
1.0
3.563 0.000 -0.409
-0.103 5.258 -0.890
-0.213 -0.390 13.706
Y Sc Dy
4 1 3
Direct
0.595 0.596 0.192
0.283 0.282 0.564
0.405 0.404 0.808
0.717 0.718 0.436
0.000 0.500 0.000
0.146 0.147 0.294
0.854 0.853 0.706
0.500 0.000 0.000
```

(18)
NdSi3Os3 | PBE | relaxed

Summary:
**Energy relative to the lowest polymorph listed for this composition**: 0.1646 eV/atom
**Space group**: Pm-3n
**Volume**: 20.0 Å³ per atom

POSCAR file:
```
NdSi3Os3
1.0
6.543 0.000 0.000
0.000 6.543 0.000
0.000 0.000 6.543
Os Si Nd
6 6 2
Direct
0.000 0.500 0.250
0.000 0.500 0.750
0.500 0.250 0.000
0.250 0.000 0.500
0.750 0.000 0.500
0.500 0.750 0.000
0.750 0.500 0.000
0.000 0.250 0.500
0.000 0.750 0.500
0.500 0.000 0.750
0.500 0.000 0.250
0.250 0.500 0.000
0.000 0.000 0.000
0.500 0.500 0.500
```

(19)
B2C | PBE | relaxed

Summary:
**Energy relative to the lowest polymorph listed for this composition**: 0.2278 eV/atom
**ΔE_f**: 0.413 eV per atom
**Space group**: Pm
**Volume**: 7.6 Å³ per atom

POSCAR file:
```
B2C
1.0
2.717 0.000 0.000
0.000 3.873 -0.219
0.000 -0.401 8.632
B C
8 4
Direct
0.500 0.563 0.180
0.500 0.425 0.780
0.000 0.904 0.699
0.000 0.082 0.973
0.000 0.303 0.452
0.500 0.928 0.077
0.000 0.200 0.178
0.000 0.922 0.331
0.500 0.487 0.496
0.500 0.714 0.358
0.500 0.718 0.656
0.000 0.255 0.820
```

(20)
Sm5InCo | PBE | relaxed

Summary:
**ΔE_f**: -0.085 eV per atom
**Space group**: C2/c
**Volume**: 29.4 Å³ per atom

POSCAR file:
```
Sm5InCo
1.0
6.470 0.368 -0.053
2.402 6.019 -0.053
3.289 2.368 10.782
Sm Co In
10 2 2
Direct
0.558 0.199 0.047
0.014 0.986 0.750
0.986 0.014 0.250
0.407 0.023 0.364
0.023 0.407 0.864
0.442 0.801 0.953
0.801 0.442 0.453
0.199 0.558 0.547
0.593 0.977 0.636
0.977 0.593 0.136
0.000 0.000 0.000
0.000 0.000 0.500
0.468 0.532 0.250
0.532 0.468 0.750
```